# Cs3PSe4

A relaxed structure of Cs3PSe4 (GGA-PBE, Alexandria via LeMat-Bulk).

Results
Mass density (kg/m³): 3833
Raw formation energy (eV/atom): -0.853

```
8
Lattice="7.684 -0.201 -0.081 -3.959 6.589 0.081 -3.396 -2.300 6.502" Properties=species:S:1:pos:R:3 pbc="T T T"
Cs 0.667 -0.389 5.388
Cs 4.216 -2.458 6.313
Cs 0.377 4.060 2.185
P 4.002 1.947 3.204
Se -4.266 2.488 5.415
Se -1.754 1.023 3.167
Se 2.416 0.741 2.218
Se -3.414 4.121 2.298
```